Model 1:
Computed, not measured: a relaxed structure of Ca2Ag2O at the PBE level of DFT.

a b c (Å): 7.4836 7.4836 4.0616
angles (deg): 90.00 90.00 90.00
Last column: nearest neighbours and their distance in Å.
Fractional coordinates of all 10 atoms:
Ca 0.1802 0.3198 0.0000  6 Ag 2.88-3.09
Ca 0.3198 0.8198 0.0000  6 Ag 2.88-3.09
Ca 0.6802 0.1802 0.0000  6 Ag 2.88-3.09
Ca 0.8198 0.6802 0.0000  6 Ag 2.88-3.09
Ag 0.1270 0.6270 0.5000  1 Ag 2.69, 2 Ca 2.88, 2 O 2.95
Ag 0.3730 0.1270 0.5000  1 Ag 2.69, 2 Ca 2.88, 2 O 2.95
Ag 0.6270 0.8730 0.5000  1 Ag 2.69, 2 Ca 2.88, 2 O 2.95
Ag 0.8730 0.3730 0.5000  1 Ag 2.69, 2 Ca 2.88, 2 O 2.95
O 0.0000 0.0000 0.5000  4 Ag 2.95
O 0.5000 0.5000 0.5000  4 Ag 2.95

Summary:
- Space group: P4/mbm (127)

=====

Model 2:
Computed, not measured: a relaxed structure of Ca2Ag2O at the PBE level of DFT.

a b c (Å): 5.4330 5.4330 5.4330
angles (deg): 114.67 114.67 99.50
Last column: nearest neighbours and their distance in Å.
Fractional coordinates of all 5 atoms:
Ca 0.2500 0.7500 0.5000  4 Ag 2.97
Ca 0.7500 0.2500 0.5000  4 Ag 2.97
Ag 0.1846 0.1846 0.0000  1 O 2.21
Ag 0.8154 0.8154 0.0000  1 O 2.21
O 0.5000 0.5000 0.0000  2 Ag 2.21

Summary:
- Space group: I4/mmm (139)

=====

model 1 wins, 51 meV/atom ahead of the next structure.

=====

Model 1:
Computed, not measured: a relaxed structure of CaAg3O at the PBE level of DFT.

a b c (Å): 5.4561 5.4561 5.4561
angles (deg): 90.00 90.00 90.00
Last column: nearest neighbours and their distance in Å.
Fractional coordinates of all 5 atoms:
Ca 0.0000 0.0000 0.0000  6 Ag 2.73
Ag 0.0000 0.0000 0.5000  2 Ca 2.73
Ag 0.0000 0.5000 0.0000  2 Ca 2.73
Ag 0.5000 0.0000 0.0000  2 Ca 2.73
O 0.5000 0.5000 0.5000  12 Ag 3.86

Summary:
- Space group: Pm-3m (221)

=====

Model 2:
Computed, not measured: a relaxed structure of CaAg3O at the PBE level of DFT.

a b c (Å): 4.6438 4.6438 4.6438
angles (deg): 90.00 90.00 90.00
Last column: nearest neighbours and their distance in Å.
Fractional coordinates of all 5 atoms:
Ca 0.0000 0.0000 0.0000  12 Ag 3.28
Ag 0.0000 0.5000 0.5000  2 O 2.32
Ag 0.5000 0.0000 0.5000  2 O 2.32
Ag 0.5000 0.5000 0.0000  2 O 2.32
O 0.5000 0.5000 0.5000  6 Ag 2.32

Summary:
- Space group: Pm-3m (221)

=====

model 2 wins, 1439 meV/atom ahead of the next structure.

=====

Model 1:
Computed, not measured: a relaxed structure of Ca3AgO at the PBE level of DFT.

a b c (Å): 5.5791 5.5791 5.5791
angles (deg): 90.00 90.00 90.00
Last column: nearest neighbours and their distance in Å.
Fractional coordinates of all 5 atoms:
Ca 0.0000 0.0000 0.5000  2 Ag 2.79
Ca 0.0000 0.5000 0.0000  2 Ag 2.79
Ca 0.5000 0.0000 0.0000  2 Ag 2.79
Ag 0.0000 0.0000 0.0000  6 Ca 2.79
O 0.5000 0.5000 0.5000  12 Ca 3.95

Summary:
- Space group: Pm-3m (221)

=====

Model 2:
Computed, not measured: a relaxed structure of Ca3AgO at the PBE level of DFT.

a b c (Å): 4.8490 4.8490 4.8490
angles (deg): 90.00 90.00 90.00
Last column: nearest neighbours and their distance in Å.
Fractional coordinates of all 5 atoms:
Ca 0.0000 0.0000 0.5000  2 O 2.42
Ca 0.0000 0.5000 0.0000  2 O 2.42
Ca 0.5000 0.0000 0.0000  2 O 2.42
Ag 0.5000 0.5000 0.5000  12 Ca 3.43
O 0.0000 0.0000 0.0000  6 Ca 2.42

Summary:
- Space group: Pm-3m (221)

=====

model 2 wins, 1401 meV/atom ahead of the next structure.

=====

Model 1:
Computed, not measured: a relaxed structure of CaAgPO2 at the PBE level of DFT.

a b c (Å): 4.2411 4.2411 4.6713
angles (deg): 90.00 90.00 90.00
Last column: nearest neighbours and their distance in Å.
Fractional coordinates of all 5 atoms:
Ca 0.0000 0.0000 0.0000  4 P 3.00, 8 O 3.15
Ag 0.5000 0.5000 0.5000  4 O 2.12, 2 P 2.34
P 0.5000 0.5000 0.0000  2 Ag 2.34
O 0.0000 0.5000 0.5000  2 Ag 2.12
O 0.5000 0.0000 0.5000  2 Ag 2.12

Summary:
- Space group: P4/mmm (123)

=====

Model 2:
Computed, not measured: a relaxed structure of CaAgPO2 at the PBE level of DFT.

a b c (Å): 4.2584 4.2584 6.0459
angles (deg): 90.00 90.00 90.00
Last column: nearest neighbours and their distance in Å.
Fractional coordinates of all 5 atoms:
Ca 0.0000 0.0000 0.0000  4 O 2.13
Ag 0.5000 0.5000 0.5000  4 P 3.01
P 0.0000 0.0000 0.5000  4 Ag 3.01, 2 Ca 3.02
O 0.0000 0.5000 0.0000  2 Ca 2.13
O 0.5000 0.0000 0.0000  2 Ca 2.13

Summary:
- Space group: P4/mmm (123)

=====

model 1 wins, 257 meV/atom ahead of the next structure.

=====

Model 1:
Computed, not measured: a relaxed structure of CaAgP2O at the PBE level of DFT.

a b c (Å): 4.8706 4.8706 4.2215
angles (deg): 90.00 90.00 90.00
Last column: nearest neighbours and their distance in Å.
Fractional coordinates of all 5 atoms:
Ca 0.0000 0.0000 0.0000  8 P 3.22, 4 O 3.44
Ag 0.5000 0.5000 0.5000  2 O 2.11
P 0.0000 0.5000 0.5000  2 Ag 2.44
P 0.5000 0.0000 0.5000  2 Ag 2.44
O 0.5000 0.5000 0.0000  2 Ag 2.11

Summary:
- Space group: P4/mmm (123)

=====

Model 2:
Computed, not measured: a relaxed structure of CaAgP2O at the PBE level of DFT.

a b c (Å): 5.3674 5.3674 4.1699
angles (deg): 90.00 90.00 90.00
Last column: nearest neighbours and their distance in Å.
Fractional coordinates of all 5 atoms:
Ca 0.0000 0.0000 0.0000  2 O 2.08
Ag 0.5000 0.5000 0.5000  8 P 3.40, 4 O 3.80
P 0.0000 0.5000 0.0000  2 Ca 2.68
P 0.5000 0.0000 0.0000  2 Ca 2.68
O 0.0000 0.0000 0.5000  2 Ca 2.08

Summary:
- Space group: P4/mmm (123)

=====

model 1 wins, 463 meV/atom ahead of the next structure.

=====

Model 1:
Computed, not measured: a relaxed structure of CaAg4Ru4O12 at the PBE level of DFT.

a b c (Å): 7.5028 7.5028 7.5028
angles (deg): 60.00 60.00 60.00
Last column: nearest neighbours and their distance in Å.
Fractional coordinates of all 21 atoms:
Ca 0.0000 0.0000 0.0000  6 O 2.25, 4 Ru 2.52
Ag 0.2025 0.5992 0.5992  3 O 2.49
Ag 0.5992 0.2025 0.5992  3 O 2.49
Ag 0.5992 0.5992 0.2025  3 O 2.49
Ag 0.5992 0.5992 0.5992  3 O 2.49
Ru 0.1372 0.1372 0.1372  3 O 1.88
Ru 0.1372 0.1372 0.5883  3 O 1.88
Ru 0.1372 0.5883 0.1372  3 O 1.88
Ru 0.5883 0.1372 0.1372  3 O 1.88
O 0.0602 0.0602 0.4398  2 Ru 1.88
O 0.0602 0.4398 0.0602  2 Ru 1.88
O 0.0602 0.4398 0.4398  2 Ru 1.88
O 0.2124 0.2124 0.7876  2 Ru 2.21, 1 Ca 2.25
O 0.2124 0.7876 0.2124  2 Ru 2.21, 1 Ca 2.25
O 0.2124 0.7876 0.7876  2 Ru 2.21, 1 Ca 2.25
O 0.4398 0.0602 0.0602  2 Ru 1.88
O 0.4398 0.0602 0.4398  2 Ru 1.88
O 0.4398 0.4398 0.0602  2 Ru 1.88
O 0.7876 0.2124 0.2124  2 Ru 2.21, 1 Ca 2.25
O 0.7876 0.2124 0.7876  2 Ru 2.21, 1 Ca 2.25
O 0.7876 0.7876 0.2124  2 Ru 2.21, 1 Ca 2.25

Summary:
- Space group: F-43m (216)

=====

Model 2:
Computed, not measured: a relaxed structure of CaAg4Ru4O12 at the PBE level of DFT.

a b c (Å): 7.2875 7.2875 7.2875
angles (deg): 60.70 60.70 60.70
Last column: nearest neighbours and their distance in Å.
Fractional coordinates of all 21 atoms:
Ca 0.0000 0.0000 0.0000  6 O 2.29-2.53
Ag 0.2439 0.2439 0.2439  6 O 2.60-2.76, 3 Ag 2.90
Ag 0.2581 0.2581 0.6271  6 O 2.55-2.78, 2 Ag 2.72, 1 Ca 2.81
Ag 0.2581 0.6271 0.2581  6 O 2.55-2.78, 2 Ag 2.72, 1 Ca 2.81
Ag 0.6271 0.2581 0.2581  6 O 2.55-2.78, 2 Ag 2.72, 1 Ca 2.81
Ru 0.2242 0.7127 0.7127  6 O 1.93-2.03
Ru 0.7127 0.2242 0.7127  6 O 1.93-2.03
Ru 0.7127 0.7127 0.2242  6 O 1.93-2.03
Ru 0.7184 0.7184 0.7184  6 O 1.95-2.01
O 0.0340 0.6506 0.6506  2 Ru 1.94-1.95
O 0.0402 0.0402 0.6510  2 Ru 2.03
O 0.0402 0.6510 0.0402  2 Ru 2.03
O 0.3894 0.7951 0.7951  2 Ru 1.98-2.01
O 0.4020 0.4020 0.7837  2 Ru 1.93
O 0.4020 0.7837 0.4020  2 Ru 1.93
O 0.6506 0.0340 0.6506  2 Ru 1.94-1.95
O 0.6510 0.0402 0.0402  2 Ru 2.03
O 0.6506 0.6506 0.0340  2 Ru 1.94-1.95
O 0.7837 0.4020 0.4020  2 Ru 1.93
O 0.7951 0.3894 0.7951  2 Ru 1.98-2.01
O 0.7951 0.7951 0.3894  2 Ru 1.98-2.01

Summary:
- Space group: R3m (160)

=====

Model 3:
Computed, not measured: a relaxed structure of CaAg4Ru4O12 at the PBE level of DFT.

a b c (Å): 7.3732 7.3732 7.3732
angles (deg): 121.43 119.94 88.82
Last column: nearest neighbours and their distance in Å.
Fractional coordinates of all 21 atoms:
Ca 0.0000 0.0000 0.0000  1 O 2.17
Ag 0.1678 0.8460 0.3218  3 O 2.33-2.44
Ag 0.2496 0.0525 0.8030  3 O 2.39-2.61
Ag 0.2496 0.4466 0.1970  3 O 2.39-2.61
Ag 0.5243 0.8460 0.6782  3 O 2.33-2.44
Ru 0.2426 0.4968 0.7459  6 O 1.91-2.05
Ru 0.7289 0.4710 0.7421  4 O 1.79-1.98
Ru 0.7289 0.9868 0.2579  4 O 1.79-1.98
Ru 0.7509 0.4968 0.2541  6 O 1.91-2.05
O 0.0548 0.5548 0.5000  2 Ru 1.91
O 0.0609 0.1621 0.4828  2 Ru 2.05-2.06
O 0.0609 0.5781 0.8988  2 Ru 2.05-2.06
O 0.4137 0.4162 0.5983  2 Ru 1.95
O 0.4137 0.8153 0.9975  2 Ru 1.95
O 0.4322 0.4322 0.0000  2 Ru 1.99
O 0.6793 0.1621 0.1012  2 Ru 2.05-2.06
O 0.6793 0.5781 0.5172  2 Ru 2.05-2.06
O 0.6901 0.1901 0.5000  2 Ru 1.79
O 0.7942 0.7942 0.0000  2 Ru 1.98, 1 Ca 2.17
O 0.8179 0.4162 0.0025  2 Ru 1.95
O 0.8179 0.8153 0.4017  2 Ru 1.95

Summary:
- Space group: Imm2 (44)

=====

model 2 wins, 35 meV/atom ahead of the next structure.